Record 1
Below is an optimized crystal structure of Pr4MgZn2, with properties calculated at the PBE-GGA level.

Geometry as POSCAR:
```
Pr4MgZn2
1.0
-1.001 3.200 4.066
-4.953 0.658 1.678
-1.043 -5.168 7.227
Zn Pr Mg
2 4 1
Cartesian
-1.775 -0.149 3.096 Zn
-5.221 -1.160 9.875 Zn
-3.177 -2.858 8.299 Pr
-5.578 1.281 7.865 Pr
-3.820 1.549 4.672 Pr
-1.419 -2.591 5.105 Pr
0.000 0.000 0.000 Mg
```

Computed properties:
Space group ... R-3m, No. 166
Crystal system ... trigonal
Total DFT energy (no corrections) ... -24.1 eV/cell
Energy of formation from the pure elements ... -113 meV per atom


Record 2
Below is an optimized crystal structure of PrMg6Zn2, with properties calculated at the PBE-GGA level.

Geometry as POSCAR:
```
PrMg6Zn2
1.0
4.382 0.000 0.000
0.000 4.382 0.000
0.000 0.000 10.599
Zn Mg Pr
2 6 1
Cartesian
2.191 2.191 9.369 Zn
2.191 2.191 1.230 Zn
0.000 0.000 5.300 Mg
0.000 2.191 7.648 Mg
0.000 2.191 2.951 Mg
2.191 2.191 5.300 Mg
2.191 0.000 7.648 Mg
2.191 0.000 2.951 Mg
0.000 0.000 0.000 Pr
```

Computed properties:
Space group ... P4/mmm, No. 123
Crystal system ... tetragonal
Total DFT energy (no corrections) ... -18.1 eV/cell
Energy of formation from the pure elements ... -135 meV per atom


Record 3
Below is an optimized crystal structure of PrMg9Zn3, with properties calculated at the PBE-GGA level.

Geometry as POSCAR:
```
PrMg9Zn3
1.0
-0.019 -2.937 4.898
-2.239 -7.090 -1.047
6.602 -3.390 1.323
Mg Pr Zn
9 1 3
Cartesian
0.970 -3.095 1.495 Mg
3.374 -10.322 3.678 Mg
0.849 -8.797 4.653 Mg
2.777 -7.886 1.877 Mg
1.567 -5.531 3.297 Mg
-0.328 -7.775 1.862 Mg
4.672 -5.642 3.312 Mg
-1.119 -3.545 -0.524 Mg
3.495 -4.620 0.521 Mg
0.000 0.000 0.000 Pr
3.291 -3.164 3.110 Zn
-1.129 -5.013 1.926 Zn
3.301 -1.695 0.661 Zn
```

Computed properties:
Space group ... C2/m, No. 12
Crystal system ... monoclinic
Total DFT energy (no corrections) ... -24.6 eV/cell
Energy of formation from the pure elements ... -126 meV per atom


Record 4
Below is an optimized crystal structure of Pr2Mg16Zn, with properties calculated at the PBE-GGA level.

Geometry as POSCAR:
```
Pr2Mg16Zn
1.0
7.713 0.078 0.957
0.855 7.666 0.957
0.087 0.078 7.772
Mg Pr Zn
16 2 1
Cartesian
0.630 5.391 3.018 Mg
6.837 2.780 3.866 Mg
0.748 0.676 0.837 Mg
2.929 5.391 0.964 Mg
5.589 5.052 2.495 Mg
3.076 2.780 7.227 Mg
5.427 0.084 3.018 Mg
5.658 2.371 0.964 Mg
2.391 0.084 5.731 Mg
8.222 4.041 9.201 Mg
1.853 5.052 5.833 Mg
0.324 2.371 5.731 Mg
3.455 6.522 3.866 Mg
4.849 7.773 9.201 Mg
8.600 7.773 5.849 Mg
5.213 1.334 5.833 Mg
2.838 2.565 3.176 Pr
5.851 5.288 6.547 Pr
7.733 6.990 8.654 Zn
```

Computed properties:
Space group ... R3m, No. 160
Crystal system ... trigonal
Total DFT energy (no corrections) ... -37.5 eV/cell
Energy of formation from the pure elements ... -63 meV per atom


Record 5
Below is an optimized crystal structure of PrMg2Zn6, with properties calculated at the PBE-GGA level.

Geometry as POSCAR:
```
PrMg2Zn6
1.0
-1.391 2.528 -1.761
-6.835 -1.345 3.468
5.057 4.991 3.172
Mg Zn Pr
2 6 1
Cartesian
-4.261 3.295 1.609 Mg
1.093 2.879 3.271 Mg
-3.024 0.806 0.301 Zn
2.639 4.555 1.211 Zn
-1.867 3.668 3.497 Zn
-0.145 5.369 4.578 Zn
-1.301 2.506 1.382 Zn
1.027 2.964 0.200 Zn
5.057 4.991 3.172 Pr
```

Computed properties:
Space group ... P6/mmm, No. 191
Crystal system ... hexagonal
Total DFT energy (no corrections) ... -16.6 eV/cell
Energy of formation from the pure elements ... -114 meV per atom


Record 6
Below is an optimized crystal structure of Pr4Mg5Zn2, with properties calculated at the PBE-GGA level.

Geometry as POSCAR:
```
Pr4Mg5Zn2
1.0
3.492 0.000 0.000
0.000 8.169 0.033
0.000 -0.748 10.501
Pr Zn Mg
4 2 5
Cartesian
1.746 0.598 9.148 Pr
1.746 5.669 5.818 Pr
1.746 1.752 4.715 Pr
1.746 6.823 1.385 Pr
0.000 7.437 3.902 Zn
0.000 -0.016 6.631 Zn
0.000 4.084 0.016 Mg
0.000 4.406 3.130 Mg
0.000 1.524 1.744 Mg
0.000 5.897 8.790 Mg
0.000 3.015 7.403 Mg
```

Computed properties:
Space group ... P2/m, No. 10
Crystal system ... monoclinic
Total DFT energy (no corrections) ... -30.9 eV/cell
Energy of formation from the pure elements ... -116 meV per atom


Record 7
Below is an optimized crystal structure of PrMg3Zn8, with properties calculated at the PBE-GGA level.

Geometry as POSCAR:
```
PrMg3Zn8
1.0
-0.566 -3.613 3.875
4.061 -1.038 3.289
-1.651 4.755 7.855
Zn Mg Pr
8 3 1
Cartesian
2.405 0.782 10.223 Zn
0.073 -0.516 10.518 Zn
0.864 1.240 12.271 Zn
3.305 -1.740 6.187 Zn
0.961 -3.044 6.483 Zn
-0.074 1.224 4.793 Zn
2.120 -1.039 12.176 Zn
1.248 -1.214 4.521 Zn
-1.631 4.709 7.815 Mg
-0.145 2.440 9.580 Mg
0.870 0.169 7.610 Mg
2.445 -2.301 9.201 Pr
```

Computed properties:
Space group ... R3m, No. 160
Crystal system ... trigonal
Total DFT energy (no corrections) ... -21.8 eV/cell
Energy of formation from the pure elements ... -169 meV per atom


Record 8
Below is an optimized crystal structure of Pr3Mg7Zn2, with properties calculated at the PBE-GGA level.

Geometry as POSCAR:
```
Pr3Mg7Zn2
1.0
-4.589 -2.776 2.785
-1.235 -5.784 -1.243
3.944 -5.605 7.470
Pr Mg Zn
3 7 2
Cartesian
0.000 0.000 0.000 Pr
-3.299 -9.740 4.527 Pr
1.419 -4.424 4.485 Pr
-0.346 -9.254 6.623 Mg
-2.157 -7.823 1.763 Mg
-1.535 -4.911 2.389 Mg
1.965 -7.856 5.221 Mg
-0.940 -7.082 4.506 Mg
-3.845 -6.308 3.791 Mg
0.276 -6.342 7.249 Mg
1.987 -8.451 7.966 Zn
-3.868 -5.713 1.046 Zn
```

Computed properties:
Space group ... R-3m, No. 166
Crystal system ... trigonal
Total DFT energy (no corrections) ... -29.6 eV/cell
Energy of formation from the pure elements ... -133 meV per atom


Record 9
Below is an optimized crystal structure of PrMg7Zn5, with properties calculated at the PBE-GGA level.

Geometry as POSCAR:
```
PrMg7Zn5
1.0
-0.524 -5.338 -1.498
6.504 -3.371 -0.617
-0.500 -4.485 5.803
Mg Zn Pr
7 5 1
Cartesian
3.740 -6.983 2.869 Mg
1.186 -3.228 0.734 Mg
1.740 -6.211 0.821 Mg
4.770 -6.264 -0.053 Mg
1.434 -9.445 2.100 Mg
3.570 -9.106 0.141 Mg
0.672 -6.916 3.704 Mg
2.521 -8.836 4.707 Zn
2.260 -11.496 3.960 Zn
4.323 -9.977 2.985 Zn
5.689 -10.951 0.817 Zn
5.950 -8.291 1.563 Zn
5.976 -7.845 5.159 Pr
```

Computed properties:
Space group ... Imm2, No. 44
Crystal system ... orthorhombic
Total DFT energy (no corrections) ... -24.5 eV/cell
Energy of formation from the pure elements ... -166 meV per atom


Record 10
Below is an optimized crystal structure of Pr4MgZn2, with properties calculated at the PBE-GGA level.

Geometry as POSCAR:
```
Pr4MgZn2
1.0
-0.147 -1.573 5.064
2.102 -4.668 1.389
8.393 1.834 3.592
Zn Mg Pr
2 1 4
Cartesian
6.125 0.687 3.169 Zn
4.224 -5.094 6.875 Zn
0.000 0.000 0.000 Mg
6.897 -3.743 7.373 Pr
7.989 -0.781 5.546 Pr
3.452 -0.665 2.672 Pr
2.360 -3.627 4.499 Pr
```

Computed properties:
Space group ... R-3m, No. 166
Crystal system ... trigonal
Total DFT energy (no corrections) ... -23.3 eV/cell
Energy of formation from the pure elements ... 1 meV per atom


Record 11
Below is an optimized crystal structure of Pr4MgZn, with properties calculated at the PBE-GGA level.

Geometry as POSCAR:
```
Pr4MgZn
1.0
5.034 0.000 -0.002
0.000 5.043 -0.003
0.003 0.004 8.199
Pr Zn Mg
4 1 1
Cartesian
2.525 5.031 2.245 Pr
0.009 2.512 5.914 Pr
0.007 2.510 2.251 Pr
2.526 5.034 5.914 Pr
0.008 5.033 4.081 Zn
2.529 2.509 8.182 Mg
```

Computed properties:
Space group ... Pmm2, No. 25
Crystal system ... orthorhombic
Total DFT energy (no corrections) ... -20.9 eV/cell
Energy of formation from the pure elements ... 179 meV per atom


Record 12
Below is an optimized crystal structure of Pr2Mg15Zn2, with properties calculated at the PBE-GGA level.

Geometry as POSCAR:
```
Pr2Mg15Zn2
1.0
-4.166 5.433 3.567
-6.995 -2.522 -2.075
-1.620 -3.974 6.417
Mg Zn Pr
15 2 2
Cartesian
-4.850 0.550 6.150 Mg
-3.213 -3.544 3.901 Mg
-3.498 -1.261 -1.037 Mg
-0.810 -1.987 3.209 Mg
-6.157 -0.165 -0.403 Mg
-7.494 1.264 1.975 Mg
-3.412 2.645 4.411 Mg
-6.241 -3.361 3.376 Mg
-5.288 -2.328 5.935 Mg
-5.005 3.076 1.895 Mg
-2.374 -1.186 5.573 Mg
-5.402 -2.953 0.442 Mg
-2.083 2.717 1.783 Mg
-6.540 2.298 4.533 Mg
-7.931 -1.614 1.759 Mg
-1.196 -0.100 0.740 Zn
-11.585 -0.964 7.169 Zn
-8.668 -0.721 5.364 Pr
-4.114 -0.342 2.546 Pr
```

Computed properties:
Space group ... R-3m, No. 166
Crystal system ... trigonal
Total DFT energy (no corrections) ... -37.1 eV/cell
Energy of formation from the pure elements ... -55 meV per atom